Record 1
The following is a PBE-GGA calculation of an optimized crystal structure of InSbPd5, from the Alexandria database.

Cell: 6.7329 6.7329 7.4452 Å, 65.80 65.80 86.02°
Sites, in units of the cell vectors:
In 0.5292 0.4708 0.2500
In 0.4708 0.5292 0.7500
Sb 0.0000 0.0000 0.0000
Sb 0.0000 0.0000 0.5000
Pd 0.6003 0.8084 0.3291
Pd 0.1745 0.6190 0.4790
Pd 0.8084 0.6003 0.8291
Pd 0.8100 0.1900 0.2500
Pd 0.3810 0.8255 0.0210
Pd 0.6190 0.1745 0.9790
Pd 0.1900 0.8100 0.7500
Pd 0.1916 0.3997 0.1709
Pd 0.8255 0.3810 0.5210
Pd 0.3997 0.1916 0.6709

Density of states at the Fermi level ... 6.353 states/eV per cell
Uncorrected energy ... -67.117 eV/cell
Uncorrected formation energy ... -105 meV per atom

Record 2
The following is a PBE-GGA calculation of an optimized crystal structure of InSbPd2, from the Alexandria database.

Cell: 5.1793 5.5353 11.0484 Å, 92.01 90.00 90.00°
Sites, in units of the cell vectors:
In 0.2500 0.0687 0.4041
In 0.7500 0.9313 0.5959
In 0.2500 0.4313 0.0959
In 0.7500 0.5687 0.9041
Sb 0.2499 0.5599 0.6011
Sb 0.7501 0.4401 0.3989
Sb 0.2499 0.9401 0.8989
Sb 0.7501 0.0599 0.1011
Pd 0.7499 0.0709 0.8433
Pd 0.2501 0.9291 0.1567
Pd 0.7499 0.4291 0.6567
Pd 0.2501 0.5709 0.3433
Pd 0.7500 0.5717 0.1569
Pd 0.2500 0.4283 0.8431
Pd 0.7500 0.9283 0.3431
Pd 0.2500 0.0717 0.6569

Density of states at the Fermi level ... 3.003 states/eV per cell
Uncorrected energy ... -75.473 eV/cell
Uncorrected formation energy ... -405 meV per atom

Record 3
The following is a PBE-GGA calculation of an optimized crystal structure of InSbPd2, from the Alexandria database.

Cell: 3.3445 3.3445 6.7537 Å, 90.00 90.00 90.00°
Sites, in units of the cell vectors:
Sb 0.5000 0.5000 0.5000
Pd 0.0000 0.0000 0.7653
Pd 0.0000 0.0000 0.2347
In 0.5000 0.5000 0.0000

Density of states at the Fermi level ... 1.897 states/eV per cell
Uncorrected energy ... -18.724 eV/cell
Uncorrected formation energy ... -369 meV per atom

Record 4
The following is a PBE-GGA calculation of an optimized crystal structure of InSbPd, from the Alexandria database.

Cell: 3.2652 3.2652 6.6499 Å, 104.21 104.21 90.00°
Sites, in units of the cell vectors:
Sb 0.3055 0.3055 0.6111
Pd 0.6705 0.6705 0.3409
In 0.0240 0.0240 0.0480

Density of states at the Fermi level ... 1.718 states/eV per cell
Uncorrected energy ... -12.673 eV/cell
Uncorrected formation energy ... -207 meV per atom

Record 5
The following is a PBE-GGA calculation of an optimized crystal structure of InSbPd, from the Alexandria database.

Cell: 4.6087 6.5902 4.6048 Å, 90.00 90.00 90.00°
Sites, in units of the cell vectors:
In 0.0000 0.2500 0.5000
In 0.0000 0.7500 0.5000
Sb 0.5000 0.2500 0.0000
Sb 0.5000 0.7500 0.0000
Pd 0.0000 0.0000 0.0000
Pd 0.5000 0.5000 0.5000

Density of states at the Fermi level ... 1.791 states/eV per cell
Uncorrected energy ... -26.325 eV/cell
Uncorrected formation energy ... -370 meV per atom

Record 6
The following is a PBE-GGA calculation of an optimized crystal structure of In2SbPd6, from the Alexandria database.

Cell: 3.3419 7.3948 7.3947 Å, 120.00 90.00 90.00°
Sites, in units of the cell vectors:
In 0.0000 0.3334 0.6667
In 0.0000 0.6667 0.3333
Sb 0.5000 0.0000 0.0000
Pd 0.5000 0.6224 0.0000
Pd 0.5000 0.3776 0.3776
Pd 0.5000 0.0000 0.6224
Pd 0.0000 0.2806 0.0000
Pd 0.0000 0.7194 0.7194
Pd 0.0000 0.0000 0.2806

Density of states at the Fermi level ... 2.932 states/eV per cell
Uncorrected energy ... -44.854 eV/cell
Uncorrected formation energy ... -455 meV per atom

Record 7
The following is a PBE-GGA calculation of an optimized crystal structure of InSb3Pd6, from the Alexandria database.

Cell: 3.2173 11.0044 10.9984 Å, 85.21 90.00 90.00°
Sites, in units of the cell vectors:
In 0.7500 0.0268 0.6953
In 0.2500 0.9732 0.3047
Sb 0.7500 0.4008 0.8330
Sb 0.2500 0.5992 0.1670
Sb 0.7500 0.6862 0.5500
Sb 0.2500 0.3138 0.4500
Sb 0.7500 0.1870 0.0405
Sb 0.2500 0.8130 0.9595
Pd 0.7500 0.4425 0.5942
Pd 0.2500 0.5575 0.4058
Pd 0.7500 0.9440 0.1028
Pd 0.2500 0.0560 0.8972
Pd 0.7500 0.4213 0.0887
Pd 0.2500 0.5787 0.9113
Pd 0.7500 0.7612 0.3053
Pd 0.2500 0.2388 0.6947
Pd 0.7500 0.1134 0.4534
Pd 0.2500 0.8866 0.5466
Pd 0.7500 0.7740 0.7668
Pd 0.2500 0.2260 0.2332

Density of states at the Fermi level ... 7.656 states/eV per cell
Uncorrected energy ... -99.189 eV/cell
Uncorrected formation energy ... -333 meV per atom

Record 8
The following is a PBE-GGA calculation of an optimized crystal structure of InSb2Pd5, from the Alexandria database.

Cell: 3.9106 8.4951 11.4620 Å, 90.00 90.00 103.31°
Sites, in units of the cell vectors:
In 0.8382 0.6765 0.7500
In 0.1618 0.3235 0.2500
Sb 0.8764 0.7529 0.4454
Sb 0.8764 0.7529 0.0546
Sb 0.1236 0.2471 0.5546
Sb 0.1236 0.2471 0.9454
Pd 0.9751 0.9502 0.8755
Pd 0.9751 0.9502 0.6245
Pd 0.2712 0.5423 0.4238
Pd 0.2712 0.5423 0.0762
Pd 0.7881 0.5762 0.2500
Pd 0.2119 0.4238 0.7500
Pd 0.7288 0.4577 0.5762
Pd 0.7288 0.4577 0.9238
Pd 0.0249 0.0498 0.1245
Pd 0.0249 0.0498 0.3755

Density of states at the Fermi level ... 4.940 states/eV per cell
Uncorrected energy ... -76.528 eV/cell
Uncorrected formation energy ... -165 meV per atom

Record 9
The following is a PBE-GGA calculation of an optimized crystal structure of InSbPd, from the Alexandria database.

Cell: 4.5065 7.4322 8.1583 Å, 90.00 90.00 90.00°
Sites, in units of the cell vectors:
Sb 0.7499 0.8265 0.7552
Sb 0.7501 0.1735 0.2552
Sb 0.2499 0.6735 0.2448
Sb 0.2501 0.3265 0.7448
Pd 0.7499 0.8319 0.4031
Pd 0.7501 0.1681 0.9031
Pd 0.2499 0.6681 0.5969
Pd 0.2501 0.3319 0.0969
In 0.7500 0.4655 0.4981
In 0.7500 0.5345 0.9981
In 0.2499 0.0345 0.5019
In 0.2500 0.9655 0.0019

Density of states at the Fermi level ... 3.446 states/eV per cell
Uncorrected energy ... -51.909 eV/cell
Uncorrected formation energy ... -308 meV per atom

Record 10
The following is a PBE-GGA calculation of an optimized crystal structure of InSb2Pd9, from the Alexandria database.

Cell: 4.0474 4.0474 12.1288 Å, 90.00 90.00 90.00°
Sites, in units of the cell vectors:
In 0.0000 0.0000 0.0000
Sb 0.0000 0.0000 0.3289
Sb 0.0000 0.0000 0.6711
Pd 0.5000 0.5000 0.0000
Pd 0.5000 0.5000 0.3361
Pd 0.5000 0.5000 0.6639
Pd 0.5000 0.0000 0.1683
Pd 0.5000 0.0000 0.5000
Pd 0.5000 0.0000 0.8317
Pd 0.0000 0.5000 0.1683
Pd 0.0000 0.5000 0.5000
Pd 0.0000 0.5000 0.8317

Density of states at the Fermi level ... 3.876 states/eV per cell
Uncorrected energy ... -62.764 eV/cell
Uncorrected formation energy ... -420 meV per atom

Record 11
The following is a PBE-GGA calculation of an optimized crystal structure of InSb2Pd2, from the Alexandria database.

Cell: 8.4063 8.4063 3.1109 Å, 90.00 90.00 90.00°
Sites, in units of the cell vectors:
Sb 0.3475 0.8475 0.0000
Sb 0.8475 0.6525 0.0000
Sb 0.6525 0.1525 0.0000
Sb 0.1525 0.3475 0.0000
Pd 0.1311 0.6311 0.5000
Pd 0.6311 0.8689 0.5000
Pd 0.8689 0.3689 0.5000
Pd 0.3689 0.1311 0.5000
In 0.0000 0.0000 0.0000
In 0.5000 0.5000 0.0000

Density of states at the Fermi level ... 4.177 states/eV per cell
Uncorrected energy ... -44.274 eV/cell
Energy relative to the lowest polymorph listed for this composition ... 56 meV per atom
Uncorrected formation energy ... -154 meV per atom

Copy entry 5 word for word.
The following is a PBE-GGA calculation of an optimized crystal structure of InSbPd, from the Alexandria database.

Cell: 4.6087 6.5902 4.6048 Å, 90.00 90.00 90.00°
Sites, in units of the cell vectors:
In 0.0000 0.2500 0.5000
In 0.0000 0.7500 0.5000
Sb 0.5000 0.2500 0.0000
Sb 0.5000 0.7500 0.0000
Pd 0.0000 0.0000 0.0000
Pd 0.5000 0.5000 0.5000

Density of states at the Fermi level ... 1.791 states/eV per cell
Uncorrected energy ... -26.325 eV/cell
Uncorrected formation energy ... -370 meV per atom

Q: Look up the uncorrected energy of the eleventh one.
A: -44.274 eV/cell

Q: Number 2 is which compound?
A: InSbPd2

Q: Which of these has the highest uncorrected energy?
A: number 4